# RbNiAu | the Open Quantum Materials Database | GGA-PBE | relaxed
data_RbNiAu
_cell_length_a 7.486
_cell_length_b 7.486
_cell_length_c 7.486
_cell_angle_alpha 90.00
_cell_angle_beta 90.00
_cell_angle_gamma 90.00
_space_group_name_H-M_alt 'P 1'
_space_group_IT_number 1
_space_group_name_Hall 'P 1'
loop_
_atom_site_label
_atom_site_type_symbol
_atom_site_fract_x
_atom_site_fract_y
_atom_site_fract_z
Rb1 Rb 0.000 0.000 0.000
Rb2 Rb 0.000 0.500 0.500
Rb3 Rb 0.500 0.000 0.500
Rb4 Rb 0.500 0.500 0.000
Ni1 Ni 0.250 0.250 0.250
Ni2 Ni 0.250 0.750 0.750
Ni3 Ni 0.750 0.250 0.750
Ni4 Ni 0.750 0.750 0.250
Au1 Au 0.250 0.250 0.750
Au2 Au 0.250 0.750 0.250
Au3 Au 0.750 0.250 0.250
Au4 Au 0.750 0.750 0.750
# - DFT total energy: -2.038 eV/atom
# - Offset from the most stable computed form: 0.534 eV/atom